[1]
Material: FePHCl2
Method: DFT, PBE-GGA
State: relaxed

E above lowest polymorph in meV/atom: 0
N(E_F) in states/eV/cell: 4.08

Structure (CIF):
```
data_FePHCl2
_chemical_formula_sum 'Fe1 P1 H1 Cl2'
_symmetry_space_group_name_H-M 'P 1'
_symmetry_Int_Tables_number 1
_symmetry_space_group_name_Hall 'P 1'
_cell_length_a 4.671
_cell_length_b 4.671
_cell_length_c 4.242
_cell_angle_alpha 90.00
_cell_angle_beta 90.00
_cell_angle_gamma 90.00
loop_
_atom_site_label
_atom_site_type_symbol
_atom_site_fract_x
_atom_site_fract_y
_atom_site_fract_z
Fe1 Fe 0.000 0.000 0.000
P1 P 0.000 0.000 0.500
H1 H 0.500 0.500 0.500
Cl1 Cl 0.000 0.500 0.000
Cl2 Cl 0.500 0.000 0.000
```



[2]
Material: FeP2HCl
Method: DFT, PBE-GGA
State: relaxed

E above lowest polymorph in meV/atom: 0
N(E_F) in states/eV/cell: 4.11

Structure (CIF):
```
data_FeP2HCl
_chemical_formula_sum 'Fe1 P2 H1 Cl1'
_symmetry_space_group_name_H-M 'P 1'
_symmetry_Int_Tables_number 1
_symmetry_space_group_name_Hall 'P 1'
_cell_length_a 3.530
_cell_length_b 3.530
_cell_length_c 5.961
_cell_angle_alpha 90.00
_cell_angle_beta 90.00
_cell_angle_gamma 90.00
loop_
_atom_site_label
_atom_site_type_symbol
_atom_site_fract_x
_atom_site_fract_y
_atom_site_fract_z
Fe1 Fe 0.000 0.000 0.000
P1 P 0.000 0.500 0.500
P2 P 0.500 0.000 0.500
H1 H 0.500 0.500 0.500
Cl1 Cl 0.500 0.500 0.000
```



[3]
Material: FePH2Cl
Method: DFT, PBE-GGA
State: relaxed

N(E_F) in states/eV/cell: 1.81

Structure (CIF):
```
data_FePH2Cl
_chemical_formula_sum 'Fe1 P1 H2 Cl1'
_symmetry_space_group_name_H-M 'P 1'
_symmetry_Int_Tables_number 1
_symmetry_space_group_name_Hall 'P 1'
_cell_length_a 3.598
_cell_length_b 3.598
_cell_length_c 4.480
_cell_angle_alpha 90.00
_cell_angle_beta 90.00
_cell_angle_gamma 90.00
loop_
_atom_site_label
_atom_site_type_symbol
_atom_site_fract_x
_atom_site_fract_y
_atom_site_fract_z
Fe1 Fe 0.000 0.000 0.000
P1 P 0.000 0.000 0.500
H1 H 0.000 0.500 0.000
H2 H 0.500 0.000 0.000
Cl1 Cl 0.500 0.500 0.500
```



[4]
Material: FePHCl2
Method: DFT, PBE-GGA
State: relaxed

E above lowest polymorph in meV/atom: 115
N(E_F) in states/eV/cell: 2.81

Structure (CIF):
```
data_FePHCl2
_chemical_formula_sum 'Fe1 P1 H1 Cl2'
_symmetry_space_group_name_H-M 'P 1'
_symmetry_Int_Tables_number 1
_symmetry_space_group_name_Hall 'P 1'
_cell_length_a 4.862
_cell_length_b 4.862
_cell_length_c 3.244
_cell_angle_alpha 90.00
_cell_angle_beta 90.00
_cell_angle_gamma 90.00
loop_
_atom_site_label
_atom_site_type_symbol
_atom_site_fract_x
_atom_site_fract_y
_atom_site_fract_z
Fe1 Fe 0.000 0.000 0.000
P1 P 0.500 0.500 0.000
H1 H 0.500 0.500 0.500
Cl1 Cl 0.000 0.500 0.500
Cl2 Cl 0.500 0.000 0.500
```



[5]
Material: FeP2HCl
Method: DFT, PBE-GGA
State: relaxed

E above lowest polymorph in meV/atom: 43
N(E_F) in states/eV/cell: 2.06

Structure (CIF):
```
data_FeP2HCl
_chemical_formula_sum 'Fe1 P2 H1 Cl1'
_symmetry_space_group_name_H-M 'P 1'
_symmetry_Int_Tables_number 1
_symmetry_space_group_name_Hall 'P 1'
_cell_length_a 4.208
_cell_length_b 4.208
_cell_length_c 5.111
_cell_angle_alpha 90.00
_cell_angle_beta 90.00
_cell_angle_gamma 90.00
loop_
_atom_site_label
_atom_site_type_symbol
_atom_site_fract_x
_atom_site_fract_y
_atom_site_fract_z
Fe1 Fe 0.000 0.000 0.000
P1 P 0.000 0.500 0.000
P2 P 0.500 0.000 0.000
H1 H 0.500 0.500 0.500
Cl1 Cl 0.000 0.000 0.500
```



[6]
Material: Fe2HPbCl
Method: DFT, PBE-GGA
State: relaxed

N(E_F) in states/eV/cell: 6.77

Structure (CIF):
```
data_Fe2HPbCl
_chemical_formula_sum 'Fe2 H1 Pb1 Cl1'
_symmetry_space_group_name_H-M 'P 1'
_symmetry_Int_Tables_number 1
_symmetry_space_group_name_Hall 'P 1'
_cell_length_a 5.218
_cell_length_b 5.218
_cell_length_c 5.777
_cell_angle_alpha 90.00
_cell_angle_beta 90.00
_cell_angle_gamma 90.00
loop_
_atom_site_label
_atom_site_type_symbol
_atom_site_fract_x
_atom_site_fract_y
_atom_site_fract_z
Fe1 Fe 0.000 0.500 0.000
Fe2 Fe 0.500 0.000 0.000
H1 H 0.000 0.000 0.500
Pb1 Pb 0.500 0.500 0.000
Cl1 Cl 0.500 0.500 0.500
```



[7]
Material: RbFe2HCl8
Method: DFT, PBE-GGA
State: relaxed

Structure (CIF):
```
data_RbFe2HCl8
_chemical_formula_sum 'Rb1 Fe2 H1 Cl8'
_symmetry_space_group_name_H-M 'P 1'
_symmetry_Int_Tables_number 1
_symmetry_space_group_name_Hall 'P 1'
_cell_length_a 7.696
_cell_length_b 7.696
_cell_length_c 8.987
_cell_angle_alpha 115.56
_cell_angle_beta 115.56
_cell_angle_gamma 50.07
loop_
_atom_site_label
_atom_site_type_symbol
_atom_site_fract_x
_atom_site_fract_y
_atom_site_fract_z
Rb1 Rb 0.000 0.000 0.000
Fe1 Fe 0.180 0.180 0.657
Fe2 Fe 0.820 0.820 0.343
H1 H 0.500 0.500 0.500
Cl1 Cl 0.175 0.637 0.308
Cl2 Cl 0.177 0.177 0.412
Cl3 Cl 0.349 0.349 0.865
Cl4 Cl 0.363 0.825 0.692
Cl5 Cl 0.637 0.175 0.308
Cl6 Cl 0.651 0.651 0.135
Cl7 Cl 0.823 0.823 0.588
Cl8 Cl 0.825 0.363 0.692
```



[8]
Material: FeHSCl2
Method: DFT, PBE-GGA
State: relaxed

E above lowest polymorph in meV/atom: 0
N(E_F) in states/eV/cell: 5.78

Structure (CIF):
```
data_FeHSCl2
_chemical_formula_sum 'Fe1 H1 S1 Cl2'
_symmetry_space_group_name_H-M 'P 1'
_symmetry_Int_Tables_number 1
_symmetry_space_group_name_Hall 'P 1'
_cell_length_a 4.745
_cell_length_b 4.745
_cell_length_c 4.144
_cell_angle_alpha 90.00
_cell_angle_beta 90.00
_cell_angle_gamma 90.00
loop_
_atom_site_label
_atom_site_type_symbol
_atom_site_fract_x
_atom_site_fract_y
_atom_site_fract_z
Fe1 Fe 0.000 0.000 0.000
H1 H 0.500 0.500 0.500
S1 S 0.000 0.000 0.500
Cl1 Cl 0.000 0.500 0.000
Cl2 Cl 0.500 0.000 0.000
```



| no. | DFT total energy (eV per atom) | magnetization (μB per formula unit) |
| --- | --- | --- |
| 1 | -3.66 | 2.2 |
| 2 | -4.24 | 3.5 |
| 3 | -4.09 | 1.7 |
| 4 | -3.55 | 3.3 |
| 5 | -4.20 | 0.3 |
| 6 | -3.74 | 7.8 |
| 7 | -3.74 | 10.0 |
| 8 | -3.39 | 0.0 |